Here is a geometry-optimized SrLiGdGa structure from the Alexandria database. Energies are from PBE-GGA.

Lattice parameters (Å, degrees): 5.3721 5.3721 5.3721 60.00 60.00 60.00
Sites, in units of the cell vectors:
1 Sr 0.0000 0.0000 0.0000
2 Li 0.2500 0.2500 0.2500
3 Gd 0.5000 0.5000 0.5000
4 Ga 0.7500 0.7500 0.7500

Results
Symmetry: F-43m, No. 216
Magnetization (μB per cell): 7.4
Volume (Å³ per atom): 27.41


Here is a geometry-optimized KSc3Bi structure from the Alexandria database. Energies are from PBE-GGA.

Lattice parameters (Å, degrees): 5.1074 5.1074 5.1074 90.00 90.00 90.00
Sites, in units of the cell vectors:
1 K 0.0000 0.0000 0.0000
2 Sc 0.0000 0.0000 0.5000
3 Sc 0.0000 0.5000 0.0000
4 Sc 0.5000 0.0000 0.0000
5 Bi 0.5000 0.5000 0.5000

Results
E above lowest polymorph (meV/atom): 737
Symmetry: Pm-3m, No. 221
Magnetization (μB per cell): 0.0
Volume (Å³ per atom): 26.65


Here is a geometry-optimized TaCo6W structure from the Alexandria database. Energies are from PBE-GGA.

Lattice parameters (Å, degrees): 6.2625 6.2625 10.2248 90.00 90.00 109.41
Sites, in units of the cell vectors:
1 Ta 0.0000 0.0000 0.2492
2 Ta 0.0000 0.0000 0.7508
3 Ta 0.2488 0.7512 0.0000
4 Ta 0.7512 0.2488 0.0000
5 Co 0.0000 0.0000 0.0000
6 Co 0.0000 0.0000 0.5000
7 Co 0.1271 0.3790 0.3770
8 Co 0.1271 0.3790 0.6230
9 Co 0.1291 0.3774 0.1271
10 Co 0.1291 0.3774 0.8729
11 Co 0.2519 0.7481 0.2536
12 Co 0.2519 0.7481 0.7464
13 Co 0.3774 0.1291 0.1271
14 Co 0.3774 0.1291 0.8729
15 Co 0.3790 0.1271 0.3770
16 Co 0.3790 0.1271 0.6230
17 Co 0.5000 0.5000 0.0000
18 Co 0.5000 0.5000 0.5000
19 Co 0.6210 0.8729 0.3770
20 Co 0.6210 0.8729 0.6230
21 Co 0.6226 0.8709 0.1271
22 Co 0.6226 0.8709 0.8729
23 Co 0.7481 0.2519 0.2536
24 Co 0.7481 0.2519 0.7464
25 Co 0.8709 0.6226 0.1271
26 Co 0.8709 0.6226 0.8729
27 Co 0.8729 0.6210 0.3770
28 Co 0.8729 0.6210 0.6230
29 W 0.2485 0.7515 0.5000
30 W 0.5000 0.5000 0.2489
31 W 0.5000 0.5000 0.7511
32 W 0.7515 0.2485 0.5000

Results
Symmetry: Cmmm, No. 65
Magnetization (μB per cell): 3.1
Volume (Å³ per atom): 11.82


Here is a geometry-optimized KNaFe2 structure from the Alexandria database. Energies are from PBE-GGA.

Lattice parameters (Å, degrees): 5.2355 5.2355 5.2355 60.00 60.00 60.00
Sites, in units of the cell vectors:
1 K 0.0000 0.0000 0.0000
2 Na 0.5000 0.5000 0.5000
3 Fe 0.2500 0.2500 0.2500
4 Fe 0.7500 0.7500 0.7500

Results
E above lowest polymorph (meV/atom): 241
Symmetry: Fm-3m, No. 225
Magnetization (μB per cell): 6.3
Volume (Å³ per atom): 25.37


| no. | uncorrected energy (eV per atom) |
| --- | --- |
| 1 | -5.362 |
| 2 | -3.601 |
| 3 | -8.579 |
| 4 | -3.440 |